A plane-wave DFT calculation with PBE was carried out for a geometry-optimized Ge3PdPt structure.

extended XYZ file:
```
20
Lattice="6.046 0.000 0.000 0.000 8.917 0.000 0.000 0.000 6.736" Properties=species:S:1:pos:R:3 pbc="T T T"
Ge 0.213 2.229 1.169
Ge 0.931 5.323 2.224
Ge 0.931 8.052 2.224
Ge 2.092 0.864 5.592
Ge 2.092 3.594 5.592
Ge 2.810 6.688 4.537
Ge 3.236 2.229 2.199
Ge 3.955 5.323 1.144
Ge 3.955 8.052 1.144
Ge 5.115 0.864 4.513
Ge 5.115 3.594 4.513
Ge 5.833 6.688 5.567
Pd 1.004 2.229 3.507
Pd 2.019 6.688 0.138
Pd 4.027 2.229 6.598
Pd 5.042 6.688 3.230
Pt 0.000 0.000 0.000
Pt 0.000 4.458 0.000
Pt 3.023 0.000 3.368
Pt 3.023 4.458 3.368
```

## Properties
Its relative energy among the computed polymorphs is 0 meV/atom. For the volume, the calculation gives 18.16 Å³/atom. For the formation energy from the elements, the calculation gives -296 meV per atom. Its calculated total energy is -5.31 eV/atom. The density of states at the Fermi level is 11.0 states/eV per cell.